# 1
Density functional theory data (PBE) for an optimized crystal structure of CsTc2Ru.

Cell: 5.1238 5.1238 9.1370 Å, 73.72 73.72 90.00°
Sites, in units of the cell vectors:
Tc  0.8750  0.6258  0.7500
Tc  0.3758  0.1250  0.2500
Tc  0.3750  0.6242  0.7500
Tc  0.3742  0.6250  0.2500
Cs  0.0000  0.0000  0.0000
Cs  0.7500  0.2500  0.5000
Ru  0.2500  0.7500  0.5000
Ru  0.5000  0.5000  0.0000

Polymorph energy (0 for the lowest one) in eV/atom: 0.0000
Volume in Å³ per cell: 220.2

---

# 2
Density functional theory data (PBE) for an optimized crystal structure of Ce4Ag3Au5.

Cell: 5.2185 5.2132 14.2668 Å, 62.99 79.46 59.97°
Sites, in units of the cell vectors:
Ce  0.2912  0.7647  0.6529
Ce  0.2029  0.5213  0.0729
Ce  0.7971  0.4787  0.9271
Ce  0.7088  0.2353  0.3471
Au  0.4490  0.2169  0.8850
Au  0.8993  0.0341  0.1672
Au  0.5510  0.7831  0.1150
Au  0.1007  0.9659  0.8328
Au  0.5000  0.5000  0.5000
Ag  0.6303  0.0299  0.7095
Ag  0.0000  0.5000  0.5000
Ag  0.3697  0.9701  0.2905

Uncorrected energy in eV/atom: -4.35
Volume in Å³ per cell: 298.9

---

# 3
Density functional theory data (PBE) for an optimized crystal structure of Na2SrI.

Cell: 4.0930 4.0930 9.6866 Å, 90.00 90.00 90.00°
Sites, in units of the cell vectors:
Na  0.0000  0.0000  0.8087
Na  0.0000  0.0000  0.1913
Sr  0.5000  0.5000  0.5000
I  0.5000  0.5000  0.0000

Polymorph energy (0 for the lowest one) in eV/atom: 0.0311
Formation energy (no corrections) in eV/atom: -0.4640
Volume in Å³ per cell: 162.3

---

# 4
Density functional theory data (PBE) for an optimized crystal structure of LiTiTc2.

Cell: 6.7819 6.7819 5.4346 Å, 51.39 51.39 90.00°
Sites, in units of the cell vectors:
Tc  0.3750  0.3907  0.7500
Tc  0.8750  0.8593  0.7500
Tc  0.6093  0.1250  0.2500
Tc  0.1407  0.6250  0.2500
Ti  0.0000  0.0000  0.0000
Ti  0.7500  0.2500  0.5000
Li  0.5000  0.5000  0.0000
Li  0.2500  0.7500  0.5000

Polymorph energy (0 for the lowest one) in eV/atom: 0.3368
Volume in Å³ per cell: 117.6